# 1
Computed, not measured: Zr2BeCl after structural relaxation at the PBE level of DFT.

Volume = 74.8 Å³ per cell
Magnetization = 0.00 μB/cell
Uncorrected energy = -24.312 eV for the cell shown
Density of states at the Fermi level = 0.548 states/eV per atom
Energy above the lowest structure with this stoichiometry = 0 meV/atom

Cell and atoms, written as CIF:
```
data_Zr2BeCl
_chemical_formula_sum 'Zr2 Be1 Cl1'
_symmetry_space_group_name_H-M 'P m m m'
_symmetry_Int_Tables_number 47
_cell_length_a 3.083
_cell_length_b 3.144
_cell_length_c 7.716
_cell_angle_alpha 90.00
_cell_angle_beta 90.00
_cell_angle_gamma 90.00
loop_
_symmetry_equiv_pos_as_xyz
'x,y,z'
'-x,-y,-z'
'-x,-y,z'
'x,y,-z'
'x,-y,-z'
'-x,y,z'
'-x,y,-z'
'x,-y,z'
loop_
_atom_site_label
_atom_site_type_symbol
_atom_site_fract_x
_atom_site_fract_y
_atom_site_fract_z
Zr1 Zr 0.000 0.000 0.209
Be1 Be 0.500 0.500 0.000
Cl1 Cl 0.500 0.000 0.500
```

***

# 2
Computed, not measured: Zr2BeCl after structural relaxation at the PBE level of DFT.

Volume = 363.9 Å³ per cell
Magnetization = 0.00 μB/cell
Uncorrected energy = -86.793 eV for the cell shown
Density of states at the Fermi level = 0.568 states/eV per atom
Energy above the lowest structure with this stoichiometry = 654 meV/atom

Cell and atoms, written as CIF:
```
data_Zr2BeCl
_chemical_formula_sum 'Zr8 Be4 Cl4'
_symmetry_space_group_name_H-M 'I -4 2 d'
_symmetry_Int_Tables_number 122
_symmetry_space_group_name_Hall 'I -4 2bw'
_cell_length_a 5.505
_cell_length_b 5.505
_cell_length_c 12.006
_cell_angle_alpha 90.00
_cell_angle_beta 90.00
_cell_angle_gamma 90.00
loop_
_atom_site_label
_atom_site_type_symbol
_atom_site_fract_x
_atom_site_fract_y
_atom_site_fract_z
Zr1 Zr 0.215 0.250 0.125
Be1 Be 0.000 0.000 0.000
Cl1 Cl 0.000 0.000 0.500
```

***

# 3
Computed, not measured: Zr2BeCl after structural relaxation at the PBE level of DFT.

Volume = 279.1 Å³ per cell
Magnetization = 0.00 μB/cell
Uncorrected energy = -90.873 eV for the cell shown
Density of states at the Fermi level = 1.406 states/eV per atom
Energy above the lowest structure with this stoichiometry = 399 meV/atom

Cell and atoms, written as CIF:
```
data_Zr2BeCl
_chemical_formula_sum 'Zr8 Be4 Cl4'
_symmetry_space_group_name_H-M 'F m -3 m'
_symmetry_Int_Tables_number 225
_symmetry_space_group_name_Hall '-F 4 2 3'
_cell_length_a 6.535
_cell_length_b 6.535
_cell_length_c 6.535
_cell_angle_alpha 90.00
_cell_angle_beta 90.00
_cell_angle_gamma 90.00
loop_
_atom_site_label
_atom_site_type_symbol
_atom_site_fract_x
_atom_site_fract_y
_atom_site_fract_z
Zr1 Zr 0.250 0.250 0.250
Be1 Be 0.000 0.000 0.000
Cl1 Cl 0.000 0.000 0.500
```

***

# 4
Computed, not measured: Zr2BeCl after structural relaxation at the PBE level of DFT.

Volume = 92.7 Å³ per cell
Magnetization = 0.00 μB/cell
Uncorrected energy = -23.393 eV for the cell shown
Density of states at the Fermi level = 0.575 states/eV per atom
Energy above the lowest structure with this stoichiometry = 230 meV/atom

Cell and atoms, written as CIF:
```
data_Zr2BeCl
_chemical_formula_sum 'Zr2 Be1 Cl1'
_symmetry_space_group_name_H-M 'P 4 m m'
_symmetry_Int_Tables_number 99
_cell_length_a 3.126
_cell_length_b 3.126
_cell_length_c 9.484
_cell_angle_alpha 90.00
_cell_angle_beta 90.00
_cell_angle_gamma 90.00
loop_
_symmetry_equiv_pos_as_xyz
'x,y,z'
'-y,x,z'
'-x,-y,z'
'y,-x,z'
'-x,y,z'
'y,x,z'
'x,-y,z'
'-y,-x,z'
loop_
_atom_site_label
_atom_site_type_symbol
_atom_site_fract_x
_atom_site_fract_y
_atom_site_fract_z
Zr1 Zr 0.000 0.000 0.000
Zr2 Zr 0.500 0.500 0.259
Be1 Be 0.000 0.000 0.420
Cl1 Cl 0.500 0.500 0.827
```

***

# 5
Computed, not measured: Zr4BeCl after structural relaxation at the PBE level of DFT.

Volume = 539.5 Å³ per cell
Magnetization = 0.00 μB/cell
Uncorrected energy = -142.535 eV for the cell shown
Density of states at the Fermi level = 1.011 states/eV per atom

Cell and atoms, written as CIF:
```
data_Zr4BeCl
_chemical_formula_sum 'Zr16 Be4 Cl4'
_symmetry_space_group_name_H-M 'F -4 3 m'
_symmetry_Int_Tables_number 216
_symmetry_space_group_name_Hall 'F -4 2 3'
_cell_length_a 8.141
_cell_length_b 8.141
_cell_length_c 8.141
_cell_angle_alpha 90.00
_cell_angle_beta 90.00
_cell_angle_gamma 90.00
loop_
_atom_site_label
_atom_site_type_symbol
_atom_site_fract_x
_atom_site_fract_y
_atom_site_fract_z
Zr1 Zr 0.122 0.122 0.122
Be1 Be 0.250 0.250 0.750
Cl1 Cl 0.000 0.000 0.500
```

***

# 6
Computed, not measured: Zr2BeCl after structural relaxation at the PBE level of DFT.

Volume = 143.7 Å³ per cell
Magnetization = 0.00 μB/cell
Uncorrected energy = -45.731 eV for the cell shown
Density of states at the Fermi level = 0.563 states/eV per atom
Energy above the lowest structure with this stoichiometry = 362 meV/atom

Cell and atoms, written as CIF:
```
data_Zr2BeCl
_chemical_formula_sum 'Zr4 Be2 Cl2'
_symmetry_space_group_name_H-M 'I m m m'
_symmetry_Int_Tables_number 71
_symmetry_space_group_name_Hall '-I 2 2'
_cell_length_a 3.909
_cell_length_b 5.169
_cell_length_c 7.111
_cell_angle_alpha 90.00
_cell_angle_beta 90.00
_cell_angle_gamma 90.00
loop_
_atom_site_label
_atom_site_type_symbol
_atom_site_fract_x
_atom_site_fract_y
_atom_site_fract_z
Zr1 Zr 0.000 0.000 0.249
Be1 Be 0.000 0.500 0.000
Cl1 Cl 0.000 0.500 0.500
```